GGA-PBE Mg6CoW, optimized geometry; uncorrected energy = -3.408 eV/atom
1.0
4.6482 0.0000 0.0000
0.0000 2.9204 5.4604
0.0000 -2.9204 5.4604
Mg Co W
6 1 1
Direct
0.0000 0.0000 0.0000
0.0000 0.0192 0.4947
0.0000 0.4947 0.0192
0.5000 0.3540 0.8422
0.5000 0.8422 0.3540
0.5000 0.8457 0.8457
0.0000 0.4720 0.4720
0.5000 0.3688 0.3688